# 1
# MgNbNiRu, relaxed, DFT GGA-PBE
data_MgNbNiRu
_chemical_formula_sum 'Mg1 Nb1 Ni1 Ru1'
_cell_length_a 4.3945
_cell_length_b 4.3945
_cell_length_c 4.3945
_cell_angle_alpha 60.00
_cell_angle_beta 60.00
_cell_angle_gamma 60.00
_symmetry_space_group_name_H-M 'P 1'
_symmetry_Int_Tables_number 1
_symmetry_space_group_name_Hall 'P 1'
loop_
_atom_site_label
_atom_site_type_symbol
_atom_site_fract_x
_atom_site_fract_y
_atom_site_fract_z
Mg1 Mg 0.0000 0.0000 0.0000
Nb1 Nb 0.5000 0.5000 0.5000
Ni1 Ni 0.7500 0.7500 0.7500
Ru1 Ru 0.2500 0.2500 0.2500
# Calculated total energy   -27.47 eV for the cell shown
# ΔH_f (0 K)   -187.9 meV/atom

# 2
# LaDy15Y4, relaxed, DFT GGA-PBE
data_LaDy15Y4
_chemical_formula_sum 'La1 Dy15 Y4'
_cell_length_a 5.0341
_cell_length_b 5.0341
_cell_length_c 25.1817
_cell_angle_alpha 90.00
_cell_angle_beta 90.00
_cell_angle_gamma 90.00
_symmetry_space_group_name_H-M 'P 1'
_symmetry_Int_Tables_number 1
_symmetry_space_group_name_Hall 'P 1'
loop_
_atom_site_label
_atom_site_type_symbol
_atom_site_fract_x
_atom_site_fract_y
_atom_site_fract_z
La1 La 0.0000 0.0000 0.0000
Dy1 Dy 0.0000 0.5000 0.1021
Dy2 Dy 0.0000 0.5000 0.3009
Dy3 Dy 0.0000 0.5000 0.5000
Dy4 Dy 0.0000 0.5000 0.6991
Dy5 Dy 0.0000 0.5000 0.8979
Dy6 Dy 0.5000 0.0000 0.1021
Dy7 Dy 0.5000 0.0000 0.3009
Dy8 Dy 0.5000 0.0000 0.5000
Dy9 Dy 0.5000 0.0000 0.6991
Dy10 Dy 0.5000 0.0000 0.8979
Dy11 Dy 0.5000 0.5000 0.0000
Dy12 Dy 0.5000 0.5000 0.2020
Dy13 Dy 0.5000 0.5000 0.4004
Dy14 Dy 0.5000 0.5000 0.5996
Dy15 Dy 0.5000 0.5000 0.7980
Y1 Y 0.0000 0.0000 0.2010
Y2 Y 0.0000 0.0000 0.4004
Y3 Y 0.0000 0.0000 0.5996
Y4 Y 0.0000 0.0000 0.7990
# Calculated total energy   -99.35 eV for the cell shown
# ΔH_f (0 K)   23.1 meV/atom

# 3
# PmSc3Al8, relaxed, DFT GGA-PBE
data_PmSc3Al8
_chemical_formula_sum 'Pm1 Sc3 Al8'
_cell_length_a 9.4720
_cell_length_b 9.4720
_cell_length_c 9.4720
_cell_angle_alpha 33.30
_cell_angle_beta 33.30
_cell_angle_gamma 33.30
_symmetry_space_group_name_H-M 'P 1'
_symmetry_Int_Tables_number 1
_symmetry_space_group_name_Hall 'P 1'
loop_
_atom_site_label
_atom_site_type_symbol
_atom_site_fract_x
_atom_site_fract_y
_atom_site_fract_z
Pm1 Pm 0.0000 0.0000 0.0000
Sc1 Sc 0.1263 0.1263 0.1263
Sc2 Sc 0.5010 0.5010 0.5010
Sc3 Sc 0.6225 0.6225 0.6225
Al1 Al 0.0618 0.0618 0.5593
Al2 Al 0.0618 0.5593 0.0618
Al3 Al 0.0662 0.5643 0.5643
Al4 Al 0.3122 0.3122 0.3122
Al5 Al 0.5593 0.0618 0.0618
Al6 Al 0.5643 0.0662 0.5643
Al7 Al 0.5643 0.5643 0.0662
Al8 Al 0.8132 0.8132 0.8132
# Calculated total energy   -59.41 eV for the cell shown
# ΔH_f (0 K)   -477.3 meV/atom
# ΔE to the lowest computed polymorph   0.000 eV per atom

# 4
# LiMg3H, relaxed, DFT GGA-PBE
data_LiMg3H
_chemical_formula_sum 'Li1 Mg3 H1'
_cell_length_a 5.0060
_cell_length_b 5.0060
_cell_length_c 5.0060
_cell_angle_alpha 90.00
_cell_angle_beta 90.00
_cell_angle_gamma 90.00
_symmetry_space_group_name_H-M 'P 1'
_symmetry_Int_Tables_number 1
_symmetry_space_group_name_Hall 'P 1'
loop_
_atom_site_label
_atom_site_type_symbol
_atom_site_fract_x
_atom_site_fract_y
_atom_site_fract_z
Li1 Li 0.0000 0.0000 0.0000
Mg1 Mg 0.0000 0.0000 0.5000
Mg2 Mg 0.0000 0.5000 0.0000
Mg3 Mg 0.5000 0.0000 0.0000
H1 H 0.5000 0.5000 0.5000
# Calculated total energy   -6.42 eV for the cell shown
# ΔE to the lowest computed polymorph   0.695 eV per atom

# 5
# La2NiH6Ir, relaxed, DFT GGA-PBE
data_La2NiH6Ir
_chemical_formula_sum 'La2 Ni1 H6 Ir1'
_cell_length_a 5.4909
_cell_length_b 5.4909
_cell_length_c 5.4909
_cell_angle_alpha 124.75
_cell_angle_beta 124.75
_cell_angle_gamma 81.95
_symmetry_space_group_name_H-M 'P 1'
_symmetry_Int_Tables_number 1
_symmetry_space_group_name_Hall 'P 1'
loop_
_atom_site_label
_atom_site_type_symbol
_atom_site_fract_x
_atom_site_fract_y
_atom_site_fract_z
La1 La 0.2500 0.7500 0.5000
La2 La 0.7500 0.2500 0.5000
Ni1 Ni 0.0000 0.0000 0.0000
H1 H 0.1972 0.1972 0.0000
H2 H 0.2542 0.2542 0.5084
H3 H 0.2542 0.7458 0.0000
H4 H 0.7458 0.2542 0.0000
H5 H 0.7458 0.7458 0.4916
H6 H 0.8028 0.8028 0.0000
Ir1 Ir 0.5000 0.5000 0.0000
# Calculated total energy   -49.51 eV for the cell shown

# 6
# TaP2Br, relaxed, DFT GGA-PBE
data_TaP2Br
_chemical_formula_sum 'Ta1 P2 Br1'
_cell_length_a 4.5481
_cell_length_b 4.5481
_cell_length_c 4.5481
_cell_angle_alpha 60.00
_cell_angle_beta 60.00
_cell_angle_gamma 60.00
_symmetry_space_group_name_H-M 'P 1'
_symmetry_Int_Tables_number 1
_symmetry_space_group_name_Hall 'P 1'
loop_
_atom_site_label
_atom_site_type_symbol
_atom_site_fract_x
_atom_site_fract_y
_atom_site_fract_z
Ta1 Ta 0.0000 0.0000 0.0000
P1 P 0.2500 0.2500 0.2500
P2 P 0.5000 0.5000 0.5000
Br1 Br 0.7500 0.7500 0.7500
# Calculated total energy   -22.14 eV for the cell shown
# ΔE to the lowest computed polymorph   0.910 eV per atom

# 7
# Sr3Re2N7, relaxed, DFT GGA-PBE
data_Sr3Re2N7
_chemical_formula_sum 'Sr3 Re2 N7'
_cell_length_a 11.3060
_cell_length_b 11.3060
_cell_length_c 3.9178
_cell_angle_alpha 90.00
_cell_angle_beta 90.00
_cell_angle_gamma 159.75
_symmetry_space_group_name_H-M 'P 1'
_symmetry_Int_Tables_number 1
_symmetry_space_group_name_Hall 'P 1'
loop_
_atom_site_label
_atom_site_type_symbol
_atom_site_fract_x
_atom_site_fract_y
_atom_site_fract_z
Sr1 Sr 0.0000 0.0000 0.0000
Sr2 Sr 0.1749 0.8251 0.0000
Sr3 Sr 0.8251 0.1749 0.0000
Re1 Re 0.4045 0.5955 0.5000
Re2 Re 0.5955 0.4045 0.5000
N1 N 0.0902 0.9098 0.5000
N2 N 0.3194 0.6806 0.5000
N3 N 0.4097 0.5903 0.0000
N4 N 0.5000 0.5000 0.5000
N5 N 0.5903 0.4097 0.0000
N6 N 0.6806 0.3194 0.5000
N7 N 0.9098 0.0902 0.5000
# Calculated total energy   -91.80 eV for the cell shown

# 8
# La2InRu2, relaxed, DFT GGA-PBE
data_La2InRu2
_chemical_formula_sum 'La4 In2 Ru4'
_cell_length_a 5.9340
_cell_length_b 5.9340
_cell_length_c 8.4117
_cell_angle_alpha 106.29
_cell_angle_beta 106.29
_cell_angle_gamma 57.90
_symmetry_space_group_name_H-M 'P 1'
_symmetry_Int_Tables_number 1
_symmetry_space_group_name_Hall 'P 1'
loop_
_atom_site_label
_atom_site_type_symbol
_atom_site_fract_x
_atom_site_fract_y
_atom_site_fract_z
La1 La 0.0034 0.7043 0.8526
La2 La 0.2957 0.9966 0.6474
La3 La 0.7043 0.0034 0.3526
La4 La 0.9966 0.2957 0.1474
In1 In 0.3740 0.6260 0.2500
In2 In 0.6260 0.3740 0.7500
Ru1 Ru 0.1915 0.5206 0.4766
Ru2 Ru 0.4794 0.8085 0.0234
Ru3 Ru 0.5206 0.1915 0.9766
Ru4 Ru 0.8085 0.4794 0.5234
# Calculated total energy   -65.66 eV for the cell shown
# ΔH_f (0 K)   -336.6 meV/atom

# 9
# SmHoAgPb, relaxed, DFT GGA-PBE
data_SmHoAgPb
_chemical_formula_sum 'Sm1 Ho1 Ag1 Pb1'
_cell_length_a 5.3239
_cell_length_b 5.3239
_cell_length_c 5.3239
_cell_angle_alpha 60.00
_cell_angle_beta 60.00
_cell_angle_gamma 60.00
_symmetry_space_group_name_H-M 'P 1'
_symmetry_Int_Tables_number 1
_symmetry_space_group_name_Hall 'P 1'
loop_
_atom_site_label
_atom_site_type_symbol
_atom_site_fract_x
_atom_site_fract_y
_atom_site_fract_z
Sm1 Sm 0.0000 0.0000 0.0000
Ho1 Ho 0.5000 0.5000 0.5000
Ag1 Ag 0.2500 0.2500 0.2500
Pb1 Pb 0.7500 0.7500 0.7500
# Calculated total energy   -17.44 eV for the cell shown
# ΔH_f (0 K)   -396.9 meV/atom

# 10
# TcW2Cl, relaxed, DFT GGA-PBE
data_TcW2Cl
_chemical_formula_sum 'Tc1 W2 Cl1'
_cell_length_a 2.9311
_cell_length_b 2.9311
_cell_length_c 7.0589
_cell_angle_alpha 90.00
_cell_angle_beta 90.00
_cell_angle_gamma 90.00
_symmetry_space_group_name_H-M 'P 1'
_symmetry_Int_Tables_number 1
_symmetry_space_group_name_Hall 'P 1'
loop_
_atom_site_label
_atom_site_type_symbol
_atom_site_fract_x
_atom_site_fract_y
_atom_site_fract_z
Tc1 Tc 0.0000 0.0000 0.0000
W1 W 0.5000 0.5000 0.2484
W2 W 0.5000 0.5000 0.7516
Cl1 Cl 0.0000 0.0000 0.5000
# Calculated total energy   -36.20 eV for the cell shown
# ΔE to the lowest computed polymorph   0.115 eV per atom

# 11
# Li2YScAu4, relaxed, DFT GGA-PBE
data_Li2YScAu4
_chemical_formula_sum 'Li2 Y1 Sc1 Au4'
_cell_length_a 8.7258
_cell_length_b 8.7258
_cell_length_c 8.7258
_cell_angle_alpha 30.67
_cell_angle_beta 30.67
_cell_angle_gamma 30.67
_symmetry_space_group_name_H-M 'P 1'
_symmetry_Int_Tables_number 1
_symmetry_space_group_name_Hall 'P 1'
loop_
_atom_site_label
_atom_site_type_symbol
_atom_site_fract_x
_atom_site_fract_y
_atom_site_fract_z
Li1 Li 0.2452 0.2452 0.2452
Li2 Li 0.7548 0.7548 0.7548
Y1 Y 0.0000 0.0000 0.0000
Sc1 Sc 0.5000 0.5000 0.5000
Au1 Au 0.1234 0.1234 0.1234
Au2 Au 0.3880 0.3880 0.3880
Au3 Au 0.6120 0.6120 0.6120
Au4 Au 0.8766 0.8766 0.8766
# Calculated total energy   -35.34 eV for the cell shown
# ΔH_f (0 K)   -700.6 meV/atom

# 12
# SiTcMo, relaxed, DFT GGA-PBE
data_SiTcMo
_chemical_formula_sum 'Si2 Tc2 Mo2'
_cell_length_a 5.0493
_cell_length_b 5.0493
_cell_length_c 5.1065
_cell_angle_alpha 117.24
_cell_angle_beta 117.24
_cell_angle_gamma 49.36
_symmetry_space_group_name_H-M 'P 1'
_symmetry_Int_Tables_number 1
_symmetry_space_group_name_Hall 'P 1'
loop_
_atom_site_label
_atom_site_type_symbol
_atom_site_fract_x
_atom_site_fract_y
_atom_site_fract_z
Si1 Si 0.0000 0.0000 0.0000
Si2 Si 0.6608 0.6608 0.7718
Tc1 Tc 0.3115 0.3115 0.1066
Tc2 Tc 0.6494 0.6494 0.2625
Mo1 Mo 0.3298 0.3298 0.6297
Mo2 Mo 0.9892 0.9892 0.4888
# Calculated total energy   -54.73 eV for the cell shown
# ΔE to the lowest computed polymorph   0.125 eV per atom